# 1
{"formula": "Sr2SeI", "functional": "PBE", "state": "optimized geometry", "lattice": [[2.262, 1.306, 7.792], [-2.262, 1.306, 7.792], [0.000, -2.612, 7.792]], "species": ["Sr", "Sr", "Se", "I"], "fractional_positions": [[0.236, 0.236, 0.236], [0.764, 0.764, 0.764], [0.500, 0.500, 0.500], [0.000, 0.000, 0.000]], "rho_g_cm3": 4.58, "space_group": "R-3m (166)", "de_polymorph_ev_per_fu": 0.000, "dft_energy_ev_per_atom": -3.69, "formation_energy_uncorrected_ev_per_atom": -1.59}


# 2
{"formula": "FeAsRuBr2", "functional": "PBE", "state": "optimized geometry", "lattice": [[5.041, 0.000, 0.000], [0.000, 5.041, 0.000], [0.000, 0.000, 4.501]], "species": ["Fe", "As", "Ru", "Br", "Br"], "fractional_positions": [[0.000, 0.000, 0.000], [0.000, 0.000, 0.500], [0.500, 0.500, 0.500], [0.000, 0.500, 0.000], [0.500, 0.000, 0.000]], "rho_g_cm3": 5.69, "space_group": "P4/mmm (123)", "de_polymorph_ev_per_fu": 0.994, "dft_energy_ev_per_atom": -4.16, "formation_energy_uncorrected_ev_per_atom": 0.98}


# 3
{"formula": "Ca4Mg2Al", "functional": "PBE", "state": "optimized geometry", "lattice": [[2.716, 1.568, 8.931], [-2.716, 1.568, 8.931], [0.000, -3.136, 8.931]], "species": ["Ca", "Ca", "Ca", "Ca", "Mg", "Mg", "Al"], "fractional_positions": [[0.124, 0.124, 0.124], [0.375, 0.375, 0.375], [0.625, 0.625, 0.625], [0.876, 0.876, 0.876], [0.246, 0.246, 0.246], [0.754, 0.754, 0.754], [0.500, 0.500, 0.500]], "rho_g_cm3": 1.72, "formation_enthalpy_0k_ev_per_atom": -0.02, "space_group": "R-3m (166)", "dft_energy_ev_per_atom": -2.16}


# 4
{"formula": "HgSeI2", "functional": "PBE", "state": "optimized geometry", "lattice": [[4.418, 0.000, 0.000], [1.657, 4.307, 0.000], [1.224, 0.019, 8.333]], "species": ["Hg", "Se", "I", "I"], "fractional_positions": [[0.000, 0.000, 0.000], [0.554, 0.774, 0.143], [0.319, 0.068, 0.415], [0.995, 0.443, 0.760]], "rho_g_cm3": 5.59, "space_group": "P1 (1)", "de_polymorph_ev_per_fu": 0.208, "dft_energy_ev_per_atom": -1.83, "formation_energy_uncorrected_ev_per_atom": -0.11}